Here is a geometry-optimized TlZn2Re structure from Alexandria. Energies are from PBE-GGA.

Properties
- formation energy from the elements (eV per atom) = 0.561
- symmetry = C2/m

Structure (CIF):
```
data_TlZn2Re
_space_group_name_H-M_alt 'P 1'
_space_group_IT_number 1
_cell_length_a 5.1527
_cell_length_b 5.1527
_cell_length_c 5.0321
_cell_angle_alpha 81.39
_cell_angle_beta 81.39
_cell_angle_gamma 32.04
loop_
_space_group_symop_operation_xyz
'x,y,z'
loop_
_atom_site_label
_atom_site_type_symbol
_atom_site_fract_x
_atom_site_fract_y
_atom_site_fract_z
_atom_site_occupancy
Zn1 Zn 0.4814 0.4814 0.5406 1
Zn2 Zn 0.0186 0.0186 0.9594 1
Tl1 Tl 0.2500 0.2500 0.2500 1
Re1 Re 0.7500 0.7500 0.7500 1
```

Here is a geometry-optimized YReCl2 structure from Alexandria. Energies are from PBE-GGA.

Properties
- raw formation energy (eV/f.u.) = -1.60
- symmetry = C2/m

Structure (CIF):
```
data_YReCl2
_space_group_name_H-M_alt 'P 1'
_space_group_IT_number 1
_cell_length_a 7.1334
_cell_length_b 7.1334
_cell_length_c 4.7440
_cell_angle_alpha 89.26
_cell_angle_beta 89.26
_cell_angle_gamma 27.30
loop_
_space_group_symop_operation_xyz
'x,y,z'
loop_
_atom_site_label
_atom_site_type_symbol
_atom_site_fract_x
_atom_site_fract_y
_atom_site_fract_z
_atom_site_occupancy
Y1 Y 0.2500 0.2500 0.2500 1
Re1 Re 0.7500 0.7500 0.7500 1
Cl1 Cl 0.6069 0.6069 0.4784 1
Cl2 Cl 0.8931 0.8931 0.0216 1
```

Number 1: calculated total energy -0.1389 Ha/atom. Number 2: calculated total energy -0.2223 Ha/atom.